Entry from the Alexandria database: GaHI3 after structural relaxation (PBE). Values from VASP.

Quantum ESPRESSO input file:
```
&SYSTEM
  ibrav = 0, nat = 5, ntyp = 3
/
ATOMIC_SPECIES
Ga 69.72 Ga.upf
H 1.01 H.upf
I 126.90 I.upf
CELL_PARAMETERS angstrom
5.235 0.000 0.000
0.000 5.235 0.000
0.000 0.000 5.235
ATOMIC_POSITIONS angstrom
Ga 0.000 0.000 0.000
H 2.617 2.617 2.617
I 0.000 2.617 2.617
I 2.617 0.000 2.617
I 2.617 2.617 0.000
```

Its symmetry is Pm-3m (221). The energy above the most stable polymorph in this dataset comes out at 553 meV/atom.

Entry from the Alexandria database: Ta2SiPd8 after structural relaxation (PBE). Values from VASP.

Quantum ESPRESSO input file:
```
&SYSTEM
  ibrav = 0, nat = 11, ntyp = 3
/
ATOMIC_SPECIES
Ta 180.95 Ta.upf
Si 28.09 Si.upf
Pd 106.42 Pd.upf
CELL_PARAMETERS angstrom
-2.289 2.817 6.714
2.289 -2.817 6.714
2.289 2.817 -6.714
ATOMIC_POSITIONS angstrom
Ta 0.000 0.000 2.547
Ta 0.000 0.000 10.882
Si 0.000 0.000 6.714
Pd 2.289 1.347 -1.791
Pd 0.000 1.400 0.000
Pd 2.289 0.000 4.182
Pd 2.289 1.347 1.791
Pd 0.000 1.470 4.924
Pd 0.000 2.817 2.533
Pd 0.000 4.234 0.000
Pd 0.000 1.470 8.505
```

Its symmetry is Immm (71). As for the energy relative to the elements, uncorrected: -5.19 eV per formula unit.

Entry from the Alexandria database: RbTiN2 after structural relaxation (PBE). Values from VASP.

Quantum ESPRESSO input file:
```
&SYSTEM
  ibrav = 0, nat = 4, ntyp = 3
/
ATOMIC_SPECIES
Rb 85.47 Rb.upf
Ti 47.87 Ti.upf
N 14.01 N.upf
CELL_PARAMETERS angstrom
0.000 2.987 2.987
2.987 0.000 2.987
2.987 2.987 0.000
ATOMIC_POSITIONS angstrom
Rb 0.000 0.000 0.000
Ti 2.987 2.987 2.987
N 1.493 1.493 1.493
N 4.480 4.480 4.480
```

Its symmetry is Fm-3m (225). The energy above the most stable polymorph in this dataset comes out at 1847 meV/atom. As for the energy relative to the elements, uncorrected: 5.04 eV per formula unit.

Entry from the Alexandria database: LuPuCoRu after structural relaxation (PBE). Values from VASP.

Quantum ESPRESSO input file:
```
&SYSTEM
  ibrav = 0, nat = 4, ntyp = 4
/
ATOMIC_SPECIES
Lu 174.97 Lu.upf
Pu 244.00 Pu.upf
Co 58.93 Co.upf
Ru 101.07 Ru.upf
CELL_PARAMETERS angstrom
0.000 3.328 3.328
3.328 0.000 3.328
3.328 3.328 0.000
ATOMIC_POSITIONS angstrom
Lu 0.000 0.000 0.000
Pu 3.328 3.328 3.328
Co 1.664 1.664 1.664
Ru 4.992 4.992 4.992
```

Its symmetry is F-43m (216). Its calculated formation energy is -0.22 eV/atom.

Entry from the Alexandria database: Sr3TeAu after structural relaxation (PBE). Values from VASP.

Quantum ESPRESSO input file:
```
&SYSTEM
  ibrav = 0, nat = 5, ntyp = 3
/
ATOMIC_SPECIES
Sr 87.62 Sr.upf
Te 127.60 Te.upf
Au 196.97 Au.upf
CELL_PARAMETERS angstrom
5.967 0.000 0.000
0.000 5.967 0.000
0.000 0.000 5.967
ATOMIC_POSITIONS angstrom
Sr 0.000 0.000 2.983
Sr 0.000 2.983 0.000
Sr 2.983 0.000 0.000
Te 2.983 2.983 2.983
Au 0.000 0.000 0.000
```

Its symmetry is Pm-3m (221). The energy above the most stable polymorph in this dataset comes out at 0 meV/atom. As for the energy relative to the elements, uncorrected: -3.26 eV per formula unit.

Entry from the Alexandria database: La4CuTe4 after structural relaxation (PBE). Values from VASP.

Quantum ESPRESSO input file:
```
&SYSTEM
  ibrav = 0, nat = 18, ntyp = 3
/
ATOMIC_SPECIES
La 138.91 La.upf
Cu 63.55 Cu.upf
Te 127.60 Te.upf
CELL_PARAMETERS angstrom
9.287 0.000 0.000
0.000 9.287 0.000
0.000 0.000 6.560
ATOMIC_POSITIONS angstrom
La 0.068 2.322 0.048
La 2.322 0.068 3.329
La 2.322 4.575 3.329
La 4.575 2.322 0.048
La 4.711 6.965 6.512
La 6.965 4.711 3.232
La 6.965 9.219 3.232
La 9.219 6.965 6.512
Cu 2.322 6.965 1.640
Cu 6.965 2.322 4.920
Te 0.004 2.322 3.284
Te 9.282 6.965 3.276
Te 2.322 0.004 0.004
Te 2.322 4.639 0.004
Te 4.639 2.322 3.284
Te 4.648 6.965 3.276
Te 6.965 9.282 6.556
Te 6.965 4.648 6.556
```

Its symmetry is P4_2/nmc (137). As for the energy relative to the elements, uncorrected: -11.61 eV per formula unit.

Entry from the Alexandria database: Ac3Sm5Tm2 after structural relaxation (PBE). Values from VASP.

Quantum ESPRESSO input file:
```
&SYSTEM
  ibrav = 0, nat = 20, ntyp = 3
/
ATOMIC_SPECIES
Ac 227.00 Ac.upf
Sm 150.36 Sm.upf
Tm 168.93 Tm.upf
CELL_PARAMETERS angstrom
-4.958 7.046 5.606
4.958 -7.046 5.606
4.958 7.046 -5.606
ATOMIC_POSITIONS angstrom
Ac 2.463 1.742 0.000
Ac 0.000 0.000 2.803
Ac 2.463 -1.742 5.606
Ac 2.495 8.788 0.000
Ac 0.000 0.000 8.409
Ac 2.495 5.305 5.606
Sm 4.958 -3.435 2.803
Sm 5.949 1.716 0.000
Sm 4.958 0.000 2.803
Sm 0.990 5.331 0.000
Sm 4.958 3.435 2.803
Sm 0.000 3.612 2.803
Sm 3.968 1.716 5.606
Sm 0.000 7.046 2.803
Sm -0.990 5.331 5.606
Sm 0.000 10.481 2.803
Tm 4.050 -5.078 5.606
Tm 4.050 5.078 0.000
Tm 0.908 1.969 5.606
Tm 0.908 12.124 0.000
```

Its symmetry is Ibam (72). Its calculated formation energy is 0.35 eV/atom.

Entry from the Alexandria database: Ac3La12Al after structural relaxation (PBE). Values from VASP.

Quantum ESPRESSO input file:
```
&SYSTEM
  ibrav = 0, nat = 16, ntyp = 3
/
ATOMIC_SPECIES
Ac 227.00 Ac.upf
La 138.91 La.upf
Al 26.98 Al.upf
CELL_PARAMETERS angstrom
5.259 0.000 0.000
0.000 5.259 0.000
0.000 0.000 21.044
ATOMIC_POSITIONS angstrom
Ac 0.000 0.000 0.000
Ac 0.000 0.000 5.457
Ac 0.000 0.000 15.587
La 0.000 2.629 2.736
La 0.000 2.629 8.154
La 0.000 2.629 12.890
La 0.000 2.629 18.308
La 2.629 0.000 2.736
La 2.629 0.000 8.154
La 2.629 0.000 12.890
La 2.629 0.000 18.308
La 2.629 2.629 0.000
La 2.629 2.629 5.459
La 2.629 2.629 10.522
La 2.629 2.629 15.584
Al 0.000 0.000 10.522
```

Its symmetry is P4/mmm (123). Its calculated formation energy is -0.02 eV/atom.

Entry from the Alexandria database: BiMoSCl2 after structural relaxation (PBE). Values from VASP.

Quantum ESPRESSO input file:
```
&SYSTEM
  ibrav = 0, nat = 5, ntyp = 4
/
ATOMIC_SPECIES
Bi 208.98 Bi.upf
Mo 95.94 Mo.upf
S 32.06 S.upf
Cl 35.45 Cl.upf
CELL_PARAMETERS angstrom
4.903 0.000 0.000
0.000 4.903 0.000
0.000 0.000 4.781
ATOMIC_POSITIONS angstrom
Bi 0.000 0.000 0.000
Mo 2.451 2.451 2.390
S 2.451 2.451 0.000
Cl 0.000 2.451 2.390
Cl 2.451 0.000 2.390
```

Its symmetry is P4/mmm (123). The energy above the most stable polymorph in this dataset comes out at 0 meV/atom. As for the energy relative to the elements, uncorrected: 0.12 eV per formula unit.

Entry from the Alexandria database: Tb2Tm5Sc2 after structural relaxation (PBE). Values from VASP.

Quantum ESPRESSO input file:
```
&SYSTEM
  ibrav = 0, nat = 9, ntyp = 3
/
ATOMIC_SPECIES
Tb 158.93 Tb.upf
Tm 168.93 Tm.upf
Sc 44.96 Sc.upf
CELL_PARAMETERS angstrom
5.566 0.000 0.000
2.613 5.722 0.000
2.743 0.313 8.323
ATOMIC_POSITIONS angstrom
Tb 1.629 1.712 1.210
Tb 9.294 4.323 7.112
Tm 1.372 0.156 4.161
Tm 4.330 1.058 6.209
Tm 4.218 2.520 3.117
Tm 6.705 3.514 5.205
Tm 6.593 4.977 2.113
Sc 3.707 4.326 0.390
Sc 7.216 1.709 7.933
```

Its symmetry is P-1 (2). The energy above the most stable polymorph in this dataset comes out at 0 meV/atom. Its calculated formation energy is 0.09 eV/atom.

Entry from the Alexandria database: Pm5YCd6 after structural relaxation (PBE). Values from VASP.

Quantum ESPRESSO input file:
```
&SYSTEM
  ibrav = 0, nat = 12, ntyp = 3
/
ATOMIC_SPECIES
Pm 145.00 Pm.upf
Y 88.91 Y.upf
Cd 112.41 Cd.upf
CELL_PARAMETERS angstrom
2.690 -8.079 0.000
2.690 8.079 0.000
0.000 0.000 7.688
ATOMIC_POSITIONS angstrom
Pm 0.000 0.000 0.000
Pm 2.690 2.718 0.000
Pm 2.690 2.686 3.844
Pm 2.690 -2.686 3.844
Pm 2.690 -2.718 0.000
Y 0.000 0.000 3.844
Cd 2.690 5.424 1.947
Cd 2.690 5.424 5.741
Cd 2.690 0.000 1.955
Cd 2.690 0.000 5.732
Cd 2.690 -5.424 1.947
Cd 2.690 -5.424 5.741
```

Its symmetry is Cmmm (65). Its calculated formation energy is -0.32 eV/atom.

Entry from the Alexandria database: CaCoCuGe2 after structural relaxation (PBE). Values from VASP.

Quantum ESPRESSO input file:
```
&SYSTEM
  ibrav = 0, nat = 5, ntyp = 4
/
ATOMIC_SPECIES
Ca 40.08 Ca.upf
Co 58.93 Co.upf
Cu 63.55 Cu.upf
Ge 72.64 Ge.upf
CELL_PARAMETERS angstrom
-2.051 2.051 5.096
2.051 -2.051 5.096
2.051 2.051 -5.096
ATOMIC_POSITIONS angstrom
Ca 0.000 0.000 0.000
Co 0.000 2.051 2.548
Cu 2.051 0.000 2.548
Ge 0.000 0.000 3.785
Ge 0.000 0.000 6.407
```

Its symmetry is I-4m2 (119). Its calculated formation energy is -0.37 eV/atom.